1.
NiAsAuSe2: relaxed, GGA-PBE.

Geometry as POSCAR:
```
NiAsAuSe2
1.0
4.8317 0.0000 0.0000
0.0000 4.8317 0.0000
0.0000 0.0000 4.4336
Se As Ni Au
2 1 1 1
direct
0.5000 0.0000 0.0000
0.0000 0.5000 0.0000
0.0000 0.0000 0.5000
0.0000 0.0000 0.0000
0.5000 0.5000 0.5000
```

Computed properties:
DOS at the Fermi energy: 5.03 states/eV per cell
Space group: P4/mmm
Uncorrected energy: -0.1341 Ha/atom

2.
Sm2Ni3As4Au: relaxed, GGA-PBE.

Geometry as POSCAR:
```
Sm2Ni3As4Au
1.0
4.2796 0.0000 0.0000
0.0000 4.2796 0.0000
0.0000 0.0000 9.6916
Ni As Au Sm
3 4 1 2
direct
0.0000 0.0000 0.5000
0.5000 0.0000 0.8878
0.0000 0.5000 0.1122
0.0000 0.5000 0.3528
0.0000 0.0000 0.0000
0.5000 0.5000 0.0000
0.5000 0.0000 0.6472
0.5000 0.5000 0.5000
0.0000 0.5000 0.7583
0.5000 0.0000 0.2417
```

Computed properties:
DOS at the Fermi energy: 4.71 states/eV per cell
Space group: P-4m2
Energy relative to the elements: -0.72 eV per atom
Uncorrected energy: -0.2053 Ha/atom

3.
Th2Ni3As4Au: relaxed, GGA-PBE.

Geometry as POSCAR:
```
Th2Ni3As4Au
1.0
4.3547 0.0000 0.0000
0.0000 4.3547 0.0000
0.0000 0.0000 9.5200
As Th Au Ni
4 2 1 3
direct
0.0000 0.5000 0.3523
0.5000 0.5000 0.0000
0.5000 0.0000 0.6477
0.0000 0.0000 0.0000
0.5000 0.0000 0.2419
0.0000 0.5000 0.7581
0.5000 0.5000 0.5000
0.5000 0.0000 0.8922
0.0000 0.0000 0.5000
0.0000 0.5000 0.1078
```

Computed properties:
DOS at the Fermi energy: 5.40 states/eV per cell
Space group: P-4m2
Energy relative to the elements: -0.71 eV per atom
Uncorrected energy: -0.2248 Ha/atom

4.
TlNiAs2Au: relaxed, GGA-PBE.

Geometry as POSCAR:
```
TlNiAs2Au
1.0
5.0336 0.0000 0.0000
0.0000 4.9387 0.0000
0.0000 0.0000 5.0336
Tl Au As Ni
1 1 2 1
direct
0.5000 0.5000 0.5000
0.0000 0.0000 0.0000
0.0000 0.0000 0.5000
0.5000 0.0000 0.0000
0.0000 0.5000 0.0000
```

Computed properties:
DOS at the Fermi energy: 5.78 states/eV per cell
Space group: P4/mmm
Energy relative to the elements: 0.73 eV per atom
Uncorrected energy: -0.1256 Ha/atom

Question: Which value of uncorrected energy does entry 3 give?
Answer: -0.2248 Ha/atom

Question: Among the records above, which one has the lowest DOS at the Fermi energy?
Answer: Sm2Ni3As4Au

Copy entry 4 word for word.
TlNiAs2Au: relaxed, GGA-PBE.

Geometry as POSCAR:
```
TlNiAs2Au
1.0
5.0336 0.0000 0.0000
0.0000 4.9387 0.0000
0.0000 0.0000 5.0336
Tl Au As Ni
1 1 2 1
direct
0.5000 0.5000 0.5000
0.0000 0.0000 0.0000
0.0000 0.0000 0.5000
0.5000 0.0000 0.0000
0.0000 0.5000 0.0000
```

Computed properties:
DOS at the Fermi energy: 5.78 states/eV per cell
Space group: P4/mmm
Energy relative to the elements: 0.73 eV per atom
Uncorrected energy: -0.1256 Ha/atom